! Ag2AsSe3 | Alexandria | GGA-PBE | optimized geometry; values from VASP
&SYSTEM
  ibrav = 0, nat = 12, ntyp = 3
/
ATOMIC_SPECIES
Ag 107.87 Ag.upf
As 74.92 As.upf
Se 78.96 Se.upf
ATOMIC_POSITIONS angstrom
Ag 0.6842 0.0024 4.3584
Ag 1.9041 -0.0024 0.6211
Ag 8.3303 0.0024 6.8536
Ag 9.5502 -0.0024 3.1163
As 4.5073 0.0595 5.6060
As 5.7271 -0.0595 1.8687
Se 4.5073 2.5091 5.6060
Se 2.0747 0.0021 6.8789
Se 3.2945 -0.0021 3.1415
Se 6.9399 0.0021 4.3332
Se 8.1597 -0.0021 0.5959
Se 5.7271 -2.5091 1.8687
CELL_PARAMETERS angstrom
6.3371 -2.7531 0.0000
6.3371 2.7531 0.0000
-2.4397 0.0000 7.4747
! Total magnetic moment in Bohr magnetons per cell: 0.0
! Symmetry: C2/c (15)
! DFT total energy in eV/atom: -3.53